(1)
# YAgHg2 | Alexandria via LeMat-Bulk | GGA-PBE | relaxed
# ΔH_f (0 K) = -0.12 eV/atom
data_YAgHg2
_space_group_name_H-M_alt 'R 3 m'
_space_group_IT_number 160
_space_group_name_Hall 'R 3 -2"'
_cell_length_a 3.8478
_cell_length_b 3.8478
_cell_length_c 23.9955
_cell_angle_alpha 90.00
_cell_angle_beta 90.00
_cell_angle_gamma 120.00
loop_
_atom_site_label
_atom_site_fract_x
_atom_site_fract_y
_atom_site_fract_z
Y1 0.0000 0.0000 0.0000
Ag1 0.0000 0.0000 0.8323
Hg1 0.0000 0.0000 0.4222
Hg2 0.0000 0.0000 0.5771

***

(2)
# MgReSi2 | Alexandria via LeMat-Bulk | GGA-PBE | relaxed
# Raw formation energy = 12 meV per atom
data_MgReSi2
_space_group_name_H-M_alt 'R -3 m'
_space_group_IT_number 166
_space_group_name_Hall '-R 3 2"'
_cell_length_a 3.0708
_cell_length_b 3.0708
_cell_length_c 23.8263
_cell_angle_alpha 90.00
_cell_angle_beta 90.00
_cell_angle_gamma 120.00
loop_
_atom_site_label
_atom_site_fract_x
_atom_site_fract_y
_atom_site_fract_z
Mg1 0.0000 0.0000 0.0000
Re1 0.0000 0.0000 0.5000
Si1 0.0000 0.0000 0.2402

***

(3)
# LaErAlIn | Alexandria via LeMat-Bulk | GGA-PBE | relaxed
# ΔH_f (0 K) = -0.41 eV/atom
data_LaErAlIn
_space_group_name_H-M_alt 'F -4 3 m'
_space_group_IT_number 216
_space_group_name_Hall 'F -4 2 3'
_cell_length_a 7.5399
_cell_length_b 7.5399
_cell_length_c 7.5399
_cell_angle_alpha 90.00
_cell_angle_beta 90.00
_cell_angle_gamma 90.00
loop_
_atom_site_label
_atom_site_fract_x
_atom_site_fract_y
_atom_site_fract_z
La1 0.0000 0.0000 0.0000
Er1 0.0000 0.0000 0.5000
Al1 0.2500 0.2500 0.2500
In1 0.2500 0.2500 0.7500